# PBE Pr2HoSe2S2, relaxed
data_Pr2HoSe2S2
_cell_length_a 5.056
_cell_length_b 5.056
_cell_length_c 15.094
_cell_angle_alpha 90.00
_cell_angle_beta 90.00
_cell_angle_gamma 90.00
_space_group_name_H-M_alt 'I 4/m m m'
_space_group_IT_number 139
_space_group_name_Hall '-I 4 2'
loop_
_atom_site_label
_atom_site_fract_x
_atom_site_fract_y
_atom_site_fract_z
Pr1 0.000 0.000 0.124
Ho1 0.000 0.000 0.500
Se1 0.000 0.000 0.316
S1 0.000 0.500 0.000
# E_tot = -5.858 eV per atom
# E_form (uncorrected) = -1.6632 eV/atom

=====

# PBE Zn2HgW, relaxed
data_Zn2HgW
_cell_length_a 4.054
_cell_length_b 4.054
_cell_length_c 8.140
_cell_angle_alpha 90.00
_cell_angle_beta 90.00
_cell_angle_gamma 90.00
_space_group_name_H-M_alt 'I 4/m m m'
_space_group_IT_number 139
_space_group_name_Hall '-I 4 2'
loop_
_atom_site_label
_atom_site_fract_x
_atom_site_fract_y
_atom_site_fract_z
Zn1 0.000 0.500 0.250
Hg1 0.000 0.000 0.000
W1 0.000 0.000 0.500
# ΔH_f (0 K) = 0.65 eV/atom
# E_tot = -3.297 eV per atom

=====

# PBE SmDy3Rh, relaxed
data_SmDy3Rh
_cell_length_a 7.579
_cell_length_b 6.523
_cell_length_c 6.181
_cell_angle_alpha 90.00
_cell_angle_beta 90.00
_cell_angle_gamma 90.00
_space_group_name_H-M_alt 'P m n 21'
_space_group_IT_number 31
loop_
_space_group_symop_operation_xyz
'x,y,z'
'-x+1/2,-y,z+1/2'
'-x,y,z'
'x+1/2,-y,z+1/2'
loop_
_atom_site_label
_atom_site_fract_x
_atom_site_fract_y
_atom_site_fract_z
Sm1 0.000 0.147 0.000
Dy1 0.000 0.847 0.483
Dy2 0.249 0.317 0.493
Rh1 0.000 0.505 0.742
# ΔH_f (0 K) = -0.29 eV/atom
# E_tot = -5.467 eV per atom
# Energy above the most stable polymorph in this dataset = 0 meV per atom

=====

# PBE Pr3ZrTl4S8, relaxed
data_Pr3ZrTl4S8
_cell_length_a 8.1667
_cell_length_b 8.1667
_cell_length_c 22.6919
_cell_angle_alpha 90.00
_cell_angle_beta 90.00
_cell_angle_gamma 120.00
_space_group_name_H-M_alt 'R -3 m'
_space_group_IT_number 166
_space_group_name_Hall '-R 3 2"'
loop_
_atom_site_label
_atom_site_fract_x
_atom_site_fract_y
_atom_site_fract_z
Pr1 0.0000 0.5000 0.0000
Zr1 0.0000 0.0000 0.0000
Tl1 0.0000 0.0000 0.5000
Tl2 0.0000 0.5000 0.5000
S1 0.0000 0.0000 0.2625
S2 0.0260 0.5130 0.7337
# E_tot = -5.413 eV per atom
# E_form (uncorrected) = -1.3270 eV/atom

=====

# PBE SrSc2Ni, relaxed
data_SrSc2Ni
_cell_length_a 4.390
_cell_length_b 4.390
_cell_length_c 9.846
_cell_angle_alpha 90.00
_cell_angle_beta 90.00
_cell_angle_gamma 90.00
_space_group_name_H-M_alt 'I -4 m 2'
_space_group_IT_number 119
_space_group_name_Hall 'I -4 -2'
loop_
_atom_site_label
_atom_site_fract_x
_atom_site_fract_y
_atom_site_fract_z
Sr1 0.000 0.000 0.000
Sc1 0.000 0.000 0.500
Sc2 0.000 0.500 0.250
Ni1 0.000 0.500 0.750
# ΔH_f (0 K) = 0.42 eV/atom
# E_tot = -4.616 eV per atom
# Energy above the most stable polymorph in this dataset = 458 meV per atom

=====

# PBE AgOs3, relaxed
data_AgOs3
_cell_length_a 5.5759
_cell_length_b 5.5759
_cell_length_c 4.4385
_cell_angle_alpha 90.00
_cell_angle_beta 90.00
_cell_angle_gamma 120.00
_space_group_name_H-M_alt 'P 63/m m c'
_space_group_IT_number 194
_space_group_name_Hall '-P 6c 2c'
loop_
_atom_site_label
_atom_site_fract_x
_atom_site_fract_y
_atom_site_fract_z
Ag1 0.3333 0.6667 0.2500
Os1 0.1682 0.3363 0.7500
# ΔH_f (0 K) = 0.78 eV/atom
# E_tot = -8.356 eV per atom
# Energy above the most stable polymorph in this dataset = 507 meV per atom

=====

# PBE TlZn3O, relaxed
data_TlZn3O
_cell_length_a 4.377
_cell_length_b 4.377
_cell_length_c 4.377
_cell_angle_alpha 90.00
_cell_angle_beta 90.00
_cell_angle_gamma 90.00
_space_group_name_H-M_alt 'P m -3 m'
_space_group_IT_number 221
_space_group_name_Hall '-P 4 2 3'
loop_
_atom_site_label
_atom_site_fract_x
_atom_site_fract_y
_atom_site_fract_z
Tl1 0.000 0.000 0.000
Zn1 0.000 0.500 0.500
O1 0.500 0.500 0.500
# E_tot = -2.285 eV per atom
# Energy above the most stable polymorph in this dataset = 0 meV per atom
# E_form (uncorrected) = -0.0553 eV/atom

=====

# PBE Sn2PAu, relaxed
data_Sn2PAu
_cell_length_a 6.414
_cell_length_b 6.414
_cell_length_c 11.164
_cell_angle_alpha 90.00
_cell_angle_beta 90.00
_cell_angle_gamma 90.00
_space_group_name_H-M_alt 'I -4 2 d'
_space_group_IT_number 122
_space_group_name_Hall 'I -4 2bw'
loop_
_atom_site_label
_atom_site_fract_x
_atom_site_fract_y
_atom_site_fract_z
Sn1 0.241 0.250 0.125
P1 0.000 0.000 0.000
Au1 0.000 0.000 0.500
# ΔH_f (0 K) = 0.00 eV/atom
# E_tot = -4.175 eV per atom

=====

# PBE La2TbIn, relaxed
data_La2TbIn
_cell_length_a 4.923
_cell_length_b 4.943
_cell_length_c 10.261
_cell_angle_alpha 90.00
_cell_angle_beta 90.00
_cell_angle_gamma 90.00
_space_group_name_H-M_alt 'I m m 2'
_space_group_IT_number 44
loop_
_space_group_symop_operation_xyz
'x,y,z'
'-x,-y,z'
'-x,y,z'
'x,-y,z'
'x+1/2,y+1/2,z+1/2'
'-x+1/2,-y+1/2,z+1/2'
'-x+1/2,y+1/2,z+1/2'
'x+1/2,-y+1/2,z+1/2'
loop_
_atom_site_label
_atom_site_fract_x
_atom_site_fract_y
_atom_site_fract_z
La1 0.000 0.000 0.000
La2 0.000 0.500 0.249
Tb1 0.000 0.500 0.751
In1 0.000 0.000 0.499
# ΔH_f (0 K) = -0.25 eV/atom
# E_tot = -4.554 eV per atom
# Energy above the most stable polymorph in this dataset = 30 meV per atom

=====

# PBE Li2In3Ga, relaxed
data_Li2In3Ga
_cell_length_a 6.092
_cell_length_b 9.335
_cell_length_c 18.342
_cell_angle_alpha 90.00
_cell_angle_beta 90.00
_cell_angle_gamma 90.00
_space_group_name_H-M_alt 'F m m m'
_space_group_IT_number 69
_space_group_name_Hall '-F 2 2'
loop_
_atom_site_label
_atom_site_fract_x
_atom_site_fract_y
_atom_site_fract_z
Li1 0.235 0.000 0.000
Li2 0.250 0.250 0.250
In1 0.000 0.000 0.149
In2 0.000 0.207 0.414
Ga1 0.000 0.000 0.301
# ΔH_f (0 K) = -0.15 eV/atom
# E_tot = -2.657 eV per atom
# Energy above the most stable polymorph in this dataset = 17 meV per atom

=====

# PBE Li5Zn3Ga, relaxed
data_Li5Zn3Ga
_cell_length_a 9.276
_cell_length_b 7.590
_cell_length_c 9.965
_cell_angle_alpha 90.00
_cell_angle_beta 98.78
_cell_angle_gamma 90.00
_space_group_name_H-M_alt 'C 1 2/m 1'
_space_group_IT_number 12
loop_
_space_group_symop_operation_xyz
'x,y,z'
'-x,-y,-z'
'-x,y,-z'
'x,-y,z'
'x+1/2,y+1/2,z'
'-x+1/2,-y+1/2,-z'
'-x+1/2,y+1/2,-z'
'x+1/2,-y+1/2,z'
loop_
_atom_site_label
_atom_site_fract_x
_atom_site_fract_y
_atom_site_fract_z
Li1 0.000 0.174 0.000
Li2 0.028 0.000 0.355
Li3 0.206 0.304 0.662
Li4 0.228 0.000 0.848
Zn1 0.000 0.500 0.000
Zn2 0.000 0.500 0.500
Zn3 0.245 0.000 0.564
Zn4 0.246 0.500 0.891
Ga1 0.025 0.500 0.251
# ΔH_f (0 K) = -0.01 eV/atom
# E_tot = -1.833 eV per atom

=====

# PBE MnReGe, relaxed
data_MnReGe
_cell_length_a 4.0946
_cell_length_b 4.0946
_cell_length_c 2.7607
_cell_angle_alpha 90.00
_cell_angle_beta 90.00
_cell_angle_gamma 120.00
_space_group_name_H-M_alt 'P -6 m 2'
_space_group_IT_number 187
_space_group_name_Hall 'P -6 2'
loop_
_atom_site_label
_atom_site_fract_x
_atom_site_fract_y
_atom_site_fract_z
Mn1 0.0000 0.0000 0.0000
Re1 0.6667 0.3333 0.5000
Ge1 0.3333 0.6667 0.0000
# ΔH_f (0 K) = 0.13 eV/atom
# E_tot = -8.614 eV per atom
# Energy above the most stable polymorph in this dataset = 111 meV per atom

=====

Q: E_tot of number 6 (AgOs3)?
A: -8.356 eV per atom